{
  "formula": "Ba2CrGePt",
  "functional": "PBE",
  "state": "optimized geometry",
  "magmom_total_mub_per_cell": 5.169,
  "dft_energy_ev_per_atom": -4.671,
  "n_ef_per_ev_atom": 0.810,
  "lattice": [[-0.152, -5.027, -3.939], [4.062, 1.278, -1.789], [3.037, -3.523, 4.379]],
  "species": ["Ba", "Ba", "Pt", "Cr", "Ge"],
  "frac_coords": [[0.500, 0.000, 0.000], [0.000, 0.000, 0.500], [0.000, 0.500, 0.000], [0.500, 0.500, 0.500], [0.000, 0.000, 0.000]]
}


{
  "formula": "ScGa2Se",
  "functional": "PBE",
  "state": "optimized geometry",
  "magmom_total_mub_per_cell": 0.000,
  "formation_energy_uncorrected_mev_per_atom": -360.4,
  "dft_energy_ev_per_atom": -4.328,
  "n_ef_per_ev_atom": 0.822,
  "lattice": [[-6.668, 3.055, -2.771], [-3.691, -2.067, 6.602], [-4.540, 2.895, 3.024]],
  "species": ["Se", "Se", "Ga", "Ga", "Ga", "Ga", "Sc", "Sc"],
  "frac_coords": [[0.750, 0.250, 0.500], [0.000, 0.000, 0.000], [0.113, 0.625, 0.250], [0.637, 0.125, 0.250], [0.875, 0.887, 0.750], [0.375, 0.363, 0.750], [0.250, 0.750, 0.500], [0.500, 0.500, 0.000]]
}


no.,calculated density (g/cm³)
1,5.2
2,5.2